Entry 1:
Compound: DyPt2
Source: the Alexandria database
Functional: PBE
Structure: optimized geometry

POSCAR file:
```
DyPt2
1.0
-2.912 -2.331 -3.955
2.519 -2.549 -4.088
-0.227 -5.419 -0.376
Dy Pt
2 4
Direct
0.750 0.750 0.750
0.500 0.500 0.500
0.125 0.625 0.125
0.125 0.125 0.625
0.625 0.125 0.125
0.125 0.125 0.125
```

Summary:
crystal system	cubic
space group	No. 227
E	-6.68	eV per atom


Entry 2:
Compound: Dy5Pt2
Source: the Alexandria database
Functional: PBE
Structure: optimized geometry

POSCAR file:
```
Dy5Pt2
1.0
-1.184 -1.351 6.333
-0.821 -6.829 -1.610
8.637 0.342 -1.733
Dy Pt
10 4
Direct
0.208 0.426 0.189
0.019 0.074 0.811
0.214 0.689 0.560
0.654 0.811 0.440
0.786 0.311 0.440
0.346 0.189 0.560
0.981 0.926 0.189
0.792 0.574 0.811
0.564 0.250 0.000
0.436 0.750 0.000
0.180 0.429 0.777
0.403 0.071 0.223
0.820 0.571 0.223
0.597 0.929 0.777
```

Summary:
crystal system	monoclinic
space group	No. 15
E	-5.83	eV per atom


Entry 3:
Compound: Dy3Pt2
Source: the Alexandria database
Functional: PBE
Structure: optimized geometry

POSCAR file:
```
Dy3Pt2
1.0
6.106 0.000 0.000
0.000 8.039 0.000
-3.053 -4.019 5.250
Dy Pt
6 4
Direct
0.750 0.000 0.000
0.250 0.000 0.000
0.847 0.212 0.694
0.653 0.518 0.306
0.347 0.482 0.694
0.153 0.788 0.306
0.106 0.383 0.212
0.894 0.617 0.788
0.394 0.171 0.788
0.606 0.829 0.212
```

Summary:
energy relative to the lowest polymorph listed for this composition	90.4	meV/atom
crystal system	orthorhombic
space group	No. 72
E	-6.14	eV per atom


Entry 4:
Compound: DyPt2
Source: the Alexandria database
Functional: PBE
Structure: optimized geometry

POSCAR file:
```
DyPt2
1.0
3.587 0.000 0.000
0.000 3.587 0.000
-1.794 -1.794 4.524
Pt Dy
2 1
Direct
0.666 0.666 0.332
0.334 0.334 0.668
0.000 0.000 0.000
```

Summary:
crystal system	tetragonal
space group	No. 139
E	-6.45	eV per atom


Entry 5:
Compound: Dy4Pt
Source: the Alexandria database
Functional: PBE
Structure: optimized geometry

POSCAR file:
```
Dy4Pt
1.0
7.298 -0.240 0.003
-3.034 6.642 0.003
-2.129 -3.197 6.203
Dy Pt
8 2
Direct
0.633 0.474 0.760
0.713 0.872 0.240
0.788 0.028 0.841
0.187 0.947 0.159
0.278 0.538 0.341
0.197 0.937 0.659
0.122 0.463 0.740
0.724 0.383 0.260
0.331 0.330 0.000
0.580 0.081 0.500
```

Summary:
energy relative to the lowest polymorph listed for this composition	0.0	meV/atom
crystal system	monoclinic
space group	No. 9
E	-5.37	eV per atom


Entry 6:
Compound: Dy3Pt4
Source: the Alexandria database
Functional: PBE
Structure: optimized geometry

POSCAR file:
```
Dy3Pt4
1.0
-4.075 -6.652 1.071
3.747 0.428 -6.912
4.360 2.162 6.189
Dy Pt
6 8
Direct
0.973 0.595 0.721
0.721 0.973 0.595
0.595 0.721 0.973
0.027 0.405 0.279
0.279 0.027 0.405
0.405 0.279 0.027
0.000 0.000 0.000
0.500 0.500 0.500
0.938 0.773 0.449
0.449 0.938 0.773
0.773 0.449 0.938
0.062 0.227 0.551
0.551 0.062 0.227
0.227 0.551 0.062
```

Summary:
crystal system	trigonal
space group	No. 148
E	-6.67	eV per atom


Look up the E of the second one. -5.83 eV per atom